Here is an optimized crystal structure of AcCoC2O6 from Alexandria. Energies are from GGA+U.

Summary:
Magnetic moment: 2.00 μB per formula unit
Total DFT energy (no corrections): -0.2754 hartree per atom

Lattice parameters (Å, degrees): 5.121 5.121 6.324 66.11 66.11 60.00
Site moments in Bohr magnetons follow the coordinates.
Fractional positions:
Ac 0.000 0.000 0.000  0.00
Co 0.500 0.500 0.500  1.95
C 0.755 0.755 0.736  0.00
C 0.245 0.245 0.264  0.00
O 0.028 0.526 0.740  0.01
O 0.706 0.028 0.740  0.01
O 0.474 0.294 0.260  0.01
O 0.972 0.474 0.260  0.01
O 0.294 0.972 0.260  0.01
O 0.526 0.706 0.740  0.01

Here is an optimized crystal structure of AcCoC2O8 from Alexandria. Energies are from GGA+U.

Summary:
Magnetic moment: 2.06 μB per formula unit
Total DFT energy (no corrections): -0.2544 hartree per atom

Lattice parameters (Å, degrees): 4.764 4.764 7.119 90.00 90.00 120.00
Site moments in Bohr magnetons follow the coordinates.
Fractional positions:
Ac 0.000 0.000 0.500  0.00
Co 0.000 0.000 0.000  0.38
C 0.667 0.333 0.231  -0.02
C 0.333 0.667 0.769  -0.02
O 0.828 0.172 0.178  0.23
O 0.828 0.657 0.178  0.23
O 0.343 0.172 0.178  0.23
O 0.657 0.828 0.822  0.23
O 0.333 0.667 0.574  0.06
O 0.667 0.333 0.426  0.06
O 0.172 0.828 0.822  0.23
O 0.172 0.343 0.822  0.23

Here is an optimized crystal structure of AcCoCO5 from Alexandria. Energies are from GGA+U.

Summary:
Magnetic moment: 1.97 μB per formula unit
Total DFT energy (no corrections): -0.2571 hartree per atom

Lattice parameters (Å, degrees): 4.912 4.912 8.532 90.31 90.31 106.81
Site moments in Bohr magnetons follow the coordinates.
Fractional positions:
Ac 0.000 0.000 0.500  0.01
Ac 0.000 0.000 0.000  0.01
Co 0.376 0.624 0.250  1.90
Co 0.624 0.376 0.750  1.90
C 0.723 0.277 0.250  0.00
C 0.277 0.723 0.750  0.00
O 0.160 0.840 0.250  0.05
O 0.840 0.160 0.750  0.05
O 0.041 0.319 0.250  -0.05
O 0.959 0.681 0.750  -0.05
O 0.681 0.959 0.250  -0.05
O 0.319 0.041 0.750  -0.05
O 0.632 0.372 0.382  0.03
O 0.368 0.628 0.618  0.03
O 0.628 0.368 0.118  0.03
O 0.372 0.632 0.882  0.03